Entry from Alexandria via LeMat-Bulk: an optimized crystal structure of Np2VMoN5 (PBE-GGA).

Unit cell a=3.2019 b=6.6340 c=9.9099 alpha=90.00 beta=90.00 gamma=103.96
Last column: nearest neighbours and their distance in Å.
Positions (direct):
Mo 0.2088 0.4176 0.0074  6 N 2.10-2.20
Mo 0.7912 0.5824 0.5074  6 N 2.10-2.20
N 0.4872 0.9743 0.7810  1 V 1.89
N 0.0516 0.1032 0.0631  2 V 1.90, 1 Mo 2.10
N 0.9484 0.8968 0.5631  2 V 1.90, 1 Mo 2.10
N 0.3740 0.7481 0.0022  1 V 2.08, 1 Mo 2.13
N 0.5128 0.0257 0.2810  1 V 1.89
N 0.6260 0.2519 0.5022  1 V 2.08, 1 Mo 2.13
N 0.2810 0.5619 0.6583  2 Mo 2.20, 3 Np 2.26-2.33
N 0.7190 0.4381 0.1583  2 Mo 2.20, 3 Np 2.26-2.33
N 0.3208 0.6416 0.3642  1 V 2.12, 2 Mo 2.17, 1 Np 2.32
N 0.6792 0.3584 0.8642  1 V 2.12, 2 Mo 2.17, 1 Np 2.32
Np 0.8932 0.7864 0.1837  6 N 2.26-2.42
Np 0.1473 0.2946 0.3020  7 N 2.32-2.56
Np 0.8527 0.7054 0.8020  7 N 2.32-2.56
Np 0.1068 0.2136 0.6837  6 N 2.26-2.42
V 0.4673 0.9345 0.4621  4 N 1.89-2.08
V 0.5327 0.0655 0.9621  4 N 1.89-2.08

SG: No. 36
Mass density (g/cm3): 11.23
N(E_F) (states/eV per atom): 1.31
Raw formation energy (eV/atom): -0.945

=====

Entry from Alexandria via LeMat-Bulk: an optimized crystal structure of CeTmP2 (PBE-GGA).

Unit cell a=3.9809 b=3.9810 c=6.9941 alpha=90.00 beta=90.00 gamma=120.00
Last column: nearest neighbours and their distance in Å.
Positions (direct):
P 0.6667 0.8334 0.7592  3 Tm 2.85, 3 Ce 2.93
P 0.3333 0.1666 0.2408  3 Tm 2.85, 3 Ce 2.93
Ce 0.0000 0.5000 0.5000  6 P 2.93
Tm 0.0000 0.5000 0.0000  6 P 2.85

SG: No. 164
Energy relative to the lowest polymorph listed for this composition (meV/atom): 229.5
Mass density (g/cm3): 6.42
E_form (eV/atom): -1.32
N(E_F) (states/eV per atom): 1.41

=====

no.,calculated volume (Å³/cell)
1,204
2,96